{"formula": "PaAg7S6", "functional": "PBE-GGA", "state": "optimized geometry", "lattice_angstrom": [[3.711, 2.142, 6.476], [-3.711, 2.142, 6.476], [0.000, -4.285, 6.476]], "species": ["Pa", "Ag", "Ag", "Ag", "Ag", "Ag", "Ag", "Ag", "S", "S", "S", "S", "S", "S"], "frac_coords": [[0.000, 0.000, 0.000], [0.042, 0.785, 0.555], [0.253, 0.526, 0.903], [0.414, 0.414, 0.414], [0.526, 0.903, 0.253], [0.555, 0.042, 0.785], [0.785, 0.555, 0.042], [0.903, 0.253, 0.526], [0.099, 0.365, 0.771], [0.240, 0.922, 0.623], [0.365, 0.771, 0.099], [0.623, 0.240, 0.922], [0.771, 0.099, 0.365], [0.922, 0.623, 0.240]], "dft_energy_ev_per_cell": -59.61, "space_group": "R3, No. 146", "magnetic_moment_mub_per_fu": 0.0}